A plane-wave DFT calculation with GGA-PBE was carried out for Sn3Ge5Cl12 after structural relaxation.

Structure (CIF):
```
data_Sn3Ge5Cl12
_symmetry_space_group_name_H-M 'I a -3 d'
_symmetry_Int_Tables_number 230
_symmetry_space_group_name_Hall '-I 4bd 2c 3'
_cell_length_a 16.7255
_cell_length_b 16.7255
_cell_length_c 16.7255
_cell_angle_alpha 90.00
_cell_angle_beta 90.00
_cell_angle_gamma 90.00
loop_
_atom_site_label
_atom_site_fract_x
_atom_site_fract_y
_atom_site_fract_z
Sn1 0.0000 0.2500 0.1250
Ge1 0.0000 0.0000 0.0000
Ge2 0.0000 0.2500 0.3750
Cl1 0.0328 0.0728 0.6416
```

Results
DFT total energy = -3.26 eV per atom
D(E_F) = 10.7 states/eV/f.u.
Uncorrected formation energy = -0.40 eV/atom

***

A plane-wave DFT calculation with GGA-PBE was carried out for P2S4I3 after structural relaxation.

Structure (CIF):
```
data_P2S4I3
_symmetry_space_group_name_H-M 'C 1 2/c 1'
_symmetry_Int_Tables_number 15
_cell_length_a 14.2733
_cell_length_b 11.0046
_cell_length_c 8.8843
_cell_angle_alpha 90.00
_cell_angle_beta 114.44
_cell_angle_gamma 90.00
loop_
_symmetry_equiv_pos_as_xyz
'x,y,z'
'-x,-y,-z'
'-x,y,-z+1/2'
'x,-y,z+1/2'
'x+1/2,y+1/2,z'
'-x+1/2,-y+1/2,-z'
'-x+1/2,y+1/2,-z+1/2'
'x+1/2,-y+1/2,z+1/2'
loop_
_atom_site_label
_atom_site_fract_x
_atom_site_fract_y
_atom_site_fract_z
P1 0.2210 0.1245 0.0202
S1 0.1350 0.2866 0.9120
S2 0.2028 0.0063 0.3387
I1 0.0000 0.0137 0.2500
I2 0.0988 0.3959 0.3778
```

Results
DFT total energy = -3.53 eV per atom
D(E_F) = 2.7 states/eV/f.u.
Uncorrected formation energy = 0.02 eV/atom

***

A plane-wave DFT calculation with GGA-PBE was carried out for Pr2SmYSc after structural relaxation.

Structure (CIF):
```
data_Pr2SmYSc
_symmetry_space_group_name_H-M 'C m c m'
_symmetry_Int_Tables_number 63
_symmetry_space_group_name_Hall '-C 2c 2'
_cell_length_a 8.2704
_cell_length_b 11.5291
_cell_length_c 7.2406
_cell_angle_alpha 90.00
_cell_angle_beta 90.00
_cell_angle_gamma 90.00
loop_
_atom_site_label
_atom_site_fract_x
_atom_site_fract_y
_atom_site_fract_z
Pr1 0.2005 0.0000 0.0000
Sm1 0.0000 0.2229 0.2500
Y1 0.0000 0.2489 0.7500
Sc1 0.0000 0.4809 0.2500
```

Results
DFT total energy = -5.07 eV per atom
D(E_F) = 6.3 states/eV/f.u.
Formation energy from the elements = 0.35 eV/atom

***

A plane-wave DFT calculation with GGA-PBE was carried out for Ag2HPd after structural relaxation.

Structure (CIF):
```
data_Ag2HPd
_symmetry_space_group_name_H-M 'R -3 m'
_symmetry_Int_Tables_number 166
_symmetry_space_group_name_Hall '-R 3 2"'
_cell_length_a 2.8504
_cell_length_b 2.8504
_cell_length_c 24.3627
_cell_angle_alpha 90.00
_cell_angle_beta 90.00
_cell_angle_gamma 120.00
loop_
_atom_site_label
_atom_site_fract_x
_atom_site_fract_y
_atom_site_fract_z
Ag1 0.0000 0.0000 0.1111
H1 0.0000 0.0000 0.5000
Pd1 0.0000 0.0000 0.0000
```

Results
DFT total energy = -3.27 eV per atom
D(E_F) = 2.3 states/eV/f.u.

***

A plane-wave DFT calculation with GGA-PBE was carried out for DyMgB after structural relaxation.

Structure (CIF):
```
data_DyMgB
_symmetry_space_group_name_H-M 'C m c m'
_symmetry_Int_Tables_number 63
_symmetry_space_group_name_Hall '-C 2c 2'
_cell_length_a 3.5533
_cell_length_b 20.3138
_cell_length_c 3.2105
_cell_angle_alpha 90.00
_cell_angle_beta 90.00
_cell_angle_gamma 90.00
loop_
_atom_site_label
_atom_site_fract_x
_atom_site_fract_y
_atom_site_fract_z
Dy1 0.0000 0.0793 0.2500
Mg1 0.0000 0.2984 0.2500
B1 0.0000 0.4850 0.2500
```

Results
DFT total energy = -4.59 eV per atom
D(E_F) = 2.1 states/eV/f.u.
Formation energy from the elements = -0.30 eV/atom

***

A plane-wave DFT calculation with GGA-PBE was carried out for CuRh2Au after structural relaxation.

Structure (CIF):
```
data_CuRh2Au
_symmetry_space_group_name_H-M 'C 1 m 1'
_symmetry_Int_Tables_number 8
_cell_length_a 8.9809
_cell_length_b 2.7889
_cell_length_c 4.8194
_cell_angle_alpha 90.00
_cell_angle_beta 100.48
_cell_angle_gamma 90.00
loop_
_symmetry_equiv_pos_as_xyz
'x,y,z'
'x,-y,z'
'x+1/2,y+1/2,z'
'x+1/2,-y+1/2,z'
loop_
_atom_site_label
_atom_site_fract_x
_atom_site_fract_y
_atom_site_fract_z
Cu1 0.0000 0.0000 0.0000
Rh1 0.2470 0.5000 0.2810
Rh2 0.4918 0.0000 0.4734
Au1 0.2484 0.0000 0.7810
```

Results
DFT total energy = -5.40 eV per atom
D(E_F) = 5.7 states/eV/f.u.
Formation energy from the elements = 0.12 eV/atom

***

A plane-wave DFT calculation with GGA-PBE was carried out for Dy2GaBr after structural relaxation.

Structure (CIF):
```
data_Dy2GaBr
_symmetry_space_group_name_H-M 'R 3 m'
_symmetry_Int_Tables_number 160
_symmetry_space_group_name_Hall 'R 3 -2"'
_cell_length_a 4.1198
_cell_length_b 4.1198
_cell_length_c 22.3406
_cell_angle_alpha 90.00
_cell_angle_beta 90.00
_cell_angle_gamma 120.00
loop_
_atom_site_label
_atom_site_fract_x
_atom_site_fract_y
_atom_site_fract_z
Dy1 0.0000 0.0000 0.0000
Dy2 0.0000 0.0000 0.1946
Ga1 0.0000 0.0000 0.5965
Br1 0.0000 0.0000 0.7678
```

Results
DFT total energy = -4.23 eV per atom
D(E_F) = 3.4 states/eV/f.u.
Uncorrected formation energy = -0.75 eV/atom